Entry from Alexandria via LeMat-Bulk: an optimized crystal structure of Pa3Ge4Pd4 (PBE-GGA).

abc: 8.1988 8.1988 8.1988
angles: 149.73 130.34 59.27
Positions (direct):
Pa  0.0000  0.0000  0.0000
Pa  0.3716  0.8716  0.5000
Pa  0.6284  0.1284  0.5000
Ge  0.2113  0.2113  0.0000
Ge  0.3091  0.5000  0.8091
Ge  0.6909  0.5000  0.1909
Ge  0.7887  0.7887  0.0000
Pd  0.0333  0.3297  0.7036
Pd  0.3739  0.6703  0.7036
Pd  0.6261  0.3297  0.2964
Pd  0.9667  0.6703  0.2964

Values from the calculation:
final energy: -75.2 eV per cell
calculated volume: 210.1 Å³ per cell
ΔE_f: -0.68 eV per atom
DOS(E_F): 0.80 states/eV per atom
distance to the lowest polymorph of the same formula: 0 meV per atom

---

Entry from Alexandria via LeMat-Bulk: an optimized crystal structure of Re2IrBr (PBE-GGA).

abc: 2.8167 2.8167 7.9399
angles: 90.00 90.00 90.00
Positions (direct):
Re  0.0000  0.0000  0.2393
Re  0.0000  0.0000  0.7607
Ir  0.5000  0.5000  0.0000
Br  0.5000  0.5000  0.5000

Values from the calculation:
final energy: -31.8 eV per cell
calculated volume: 63.0 Å³ per cell
DOS(E_F): 1.11 states/eV per atom
raw formation energy: 0.906 eV/atom
distance to the lowest polymorph of the same formula: 379 meV per atom

---

Entry from Alexandria via LeMat-Bulk: an optimized crystal structure of Cu2TcO6 (PBE-GGA).

abc: 4.5638 4.5638 9.0079
angles: 90.00 90.00 90.00
Positions (direct):
Cu  0.0000  0.0000  0.1652
Cu  0.0000  0.0000  0.8348
Cu  0.5000  0.5000  0.3348
Cu  0.5000  0.5000  0.6652
Tc  0.0000  0.0000  0.5000
Tc  0.5000  0.5000  0.0000
O  0.1946  0.1946  0.3391
O  0.1946  0.1946  0.6609
O  0.2033  0.2033  0.0000
O  0.2967  0.7033  0.5000
O  0.3054  0.6946  0.1609
O  0.3054  0.6946  0.8391
O  0.6946  0.3054  0.1609
O  0.6946  0.3054  0.8391
O  0.7033  0.2967  0.5000
O  0.7967  0.7967  0.0000
O  0.8054  0.8054  0.3391
O  0.8054  0.8054  0.6609

Values from the calculation:
final energy: -110.0 eV per cell
calculated volume: 187.6 Å³ per cell
DOS(E_F): 0.69 states/eV per atom
raw formation energy: -0.745 eV/atom

---

Entry from Alexandria via LeMat-Bulk: an optimized crystal structure of LaCd6Ag2 (PBE-GGA).

abc: 8.6521 8.6521 3.3616
angles: 101.04 101.04 59.69
Positions (direct):
La  0.0000  0.0000  0.0000
Cd  0.0015  0.3545  0.6777
Cd  0.3359  0.6641  0.5000
Cd  0.3545  0.0015  0.6777
Cd  0.6455  0.9985  0.3223
Cd  0.6641  0.3359  0.5000
Cd  0.9985  0.6455  0.3223
Ag  0.3553  0.3553  0.8569
Ag  0.6447  0.6447  0.1431

Values from the calculation:
final energy: -16.8 eV per cell
calculated volume: 211.9 Å³ per cell
ΔE_f: -0.07 eV per atom
DOS(E_F): 0.59 states/eV per atom
distance to the lowest polymorph of the same formula: 75 meV per atom

---

Entry from Alexandria via LeMat-Bulk: an optimized crystal structure of K2ScNi (PBE-GGA).

abc: 7.9987 7.9987 7.9987
angles: 90.00 90.00 90.00
Positions (direct):
K  0.2500  0.2500  0.2500
K  0.2500  0.2500  0.7500
K  0.2500  0.7500  0.2500
K  0.2500  0.7500  0.7500
K  0.7500  0.2500  0.2500
K  0.7500  0.2500  0.7500
K  0.7500  0.7500  0.2500
K  0.7500  0.7500  0.7500
Sc  0.0000  0.0000  0.0000
Sc  0.0000  0.5000  0.5000
Sc  0.5000  0.0000  0.5000
Sc  0.5000  0.5000  0.0000
Ni  0.0000  0.0000  0.5000
Ni  0.0000  0.5000  0.0000
Ni  0.5000  0.0000  0.0000
Ni  0.5000  0.5000  0.5000

Values from the calculation:
final energy: -39.3 eV per cell
calculated volume: 511.8 Å³ per cell
ΔE_f: 1.12 eV per atom
DOS(E_F): 2.72 states/eV per atom
distance to the lowest polymorph of the same formula: 1149 meV per atom

---

Entry from Alexandria via LeMat-Bulk: an optimized crystal structure of Pu2PaGe2 (PBE-GGA).

abc: 7.7846 7.7846 3.9217
angles: 90.00 90.00 90.00
Positions (direct):
Pu  0.1427  0.3573  0.0000
Pu  0.3573  0.8573  0.0000
Pu  0.6427  0.1427  0.0000
Pu  0.8573  0.6427  0.0000
Pa  0.0000  0.0000  0.5000
Pa  0.5000  0.5000  0.5000
Ge  0.1553  0.6553  0.5000
Ge  0.3447  0.1553  0.5000
Ge  0.6553  0.8447  0.5000
Ge  0.8447  0.3447  0.5000

Values from the calculation:
final energy: -98.5 eV per cell
calculated volume: 237.7 Å³ per cell
ΔE_f: -0.37 eV per atom
DOS(E_F): 2.21 states/eV per atom
distance to the lowest polymorph of the same formula: 0 meV per atom

---

Entry from Alexandria via LeMat-Bulk: an optimized crystal structure of Sc6Tl5Ga (PBE-GGA).

abc: 8.0076 8.0076 7.0869
angles: 90.00 90.00 143.12
Positions (direct):
Sc  0.0000  0.0000  0.2394
Sc  0.0000  0.0000  0.7606
Sc  0.3385  0.6615  0.2451
Sc  0.3385  0.6615  0.7549
Sc  0.6615  0.3385  0.2451
Sc  0.6615  0.3385  0.7549
Tl  0.1682  0.8318  0.5000
Tl  0.1691  0.8309  0.0000
Tl  0.5000  0.5000  0.5000
Tl  0.8309  0.1691  0.0000
Tl  0.8318  0.1682  0.5000
Ga  0.5000  0.5000  0.0000

Values from the calculation:
final energy: -56.4 eV per cell
calculated volume: 272.7 Å³ per cell
ΔE_f: -0.30 eV per atom
DOS(E_F): 0.69 states/eV per atom

---

Entry from Alexandria via LeMat-Bulk: an optimized crystal structure of TcIr2Au (PBE-GGA).

abc: 6.3207 6.3207 6.3207
angles: 90.00 90.00 90.00
Positions (direct):
Tc  0.0000  0.0000  0.0000
Tc  0.0000  0.5000  0.5000
Tc  0.5000  0.0000  0.5000
Tc  0.5000  0.5000  0.0000
Ir  0.2500  0.2500  0.2500
Ir  0.2500  0.2500  0.7500
Ir  0.2500  0.7500  0.2500
Ir  0.2500  0.7500  0.7500
Ir  0.7500  0.2500  0.2500
Ir  0.7500  0.2500  0.7500
Ir  0.7500  0.7500  0.2500
Ir  0.7500  0.7500  0.7500
Au  0.0000  0.0000  0.5000
Au  0.0000  0.5000  0.0000
Au  0.5000  0.0000  0.0000
Au  0.5000  0.5000  0.5000

Values from the calculation:
final energy: -117.1 eV per cell
calculated volume: 252.5 Å³ per cell
ΔE_f: 0.52 eV per atom
DOS(E_F): 0.90 states/eV per atom
distance to the lowest polymorph of the same formula: 500 meV per atom